Below is a geometry-optimized GaSb3Ir structure, with properties calculated at the PBE level.

Properties
Its density of states at the Fermi level is 8.91 states/eV/cell. Its calculated volume is 145 Å³ per cell. The calculation puts the offset from the most stable computed form at 0 meV per atom. The calculation puts the uncorrected formation energy at 514 meV per atom.

```
5
Lattice="-1.499 3.547 -3.574 1.483 -3.253 -3.850 -4.813 -2.107 -0.073" Properties=species:S:1:pos:R:3 pbc="T T T"
Sb 0.741 -1.627 -1.925
Sb -2.406 -1.054 -0.036
Sb -0.749 1.774 -1.787
Ir 0.000 0.000 0.000
Ga -2.414 -0.907 -3.749
```